1.
# LiYThGa (PBE, optimized geometry)
# Formation energy from the elements (eV/atom): -0.2180
# ρ (g cm⁻³): 6.8
# Crystal system: cubic
# Total moment (μB per formula unit): 0.0
data_LiYThGa
_chemical_formula_sum 'Li4 Y4 Th4 Ga4'
_cell_length_a 7.305
_cell_length_b 7.305
_cell_length_c 7.305
_cell_angle_alpha 90.00
_cell_angle_beta 90.00
_cell_angle_gamma 90.00
_space_group_name_H-M_alt 'F -4 3 m'
_space_group_IT_number 216
_space_group_name_Hall 'F -4 2 3'
loop_
_atom_site_label
_atom_site_type_symbol
_atom_site_fract_x
_atom_site_fract_y
_atom_site_fract_z
Li1 Li 0.000 0.000 0.000
Y1 Y 0.250 0.250 0.750
Th1 Th 0.250 0.250 0.250
Ga1 Ga 0.000 0.000 0.500

2.
# NpFe2Br8 (PBE, optimized geometry)
# ρ (g cm⁻³): 3.9
# Crystal system: monoclinic
# Formation energy without anion corrections (meV per atom): -792
# Total moment (μB per formula unit): 5.0
data_NpFe2Br8
_chemical_formula_sum 'Np2 Fe4 Br16'
_cell_length_a 12.628
_cell_length_b 10.344
_cell_length_c 6.485
_cell_angle_alpha 90.00
_cell_angle_beta 93.02
_cell_angle_gamma 90.00
_space_group_name_H-M_alt 'C 1 2/m 1'
_space_group_IT_number 12
_space_group_name_Hall '-C 2y'
loop_
_atom_site_label
_atom_site_type_symbol
_atom_site_fract_x
_atom_site_fract_y
_atom_site_fract_z
Np1 Np 0.000 0.000 0.000
Fe1 Fe 0.196 0.000 0.646
Br1 Br 0.098 0.189 0.759
Br2 Br 0.130 0.500 0.234
Br3 Br 0.189 0.000 0.267

Values for DFT total energy, eV/atom, ordered as above
-4.924; -4.724